First-principles (PBE-GGA) data for an optimized crystal structure of HfPdO2F, as listed in Alexandria via LeMat-Bulk.

```
data_HfPdO2F
_chemical_formula_sum 'Hf1 Pd1 O2 F1'
_space_group_name_H-M_alt 'P 4/m m m'
_space_group_IT_number 123
_space_group_name_Hall '-P 4 2'
_cell_length_a 4.0562
_cell_length_b 4.0562
_cell_length_c 4.0397
_cell_angle_alpha 90.00
_cell_angle_beta 90.00
_cell_angle_gamma 90.00
loop_
_atom_site_label
_atom_site_type_symbol
_atom_site_fract_x
_atom_site_fract_y
_atom_site_fract_z
Hf1 Hf 0.0000 0.0000 0.0000
Pd1 Pd 0.5000 0.5000 0.5000
O1 O 0.0000 0.5000 0.5000
F1 F 0.5000 0.5000 0.0000
```

Summary:
Its uncorrected formation energy is -0.549 eV per atom. The value obtained for the total magnetic moment is 0.00 Bohr magnetons per cell. As for the crystal system: tetragonal.



First-principles (PBE-GGA) data for an optimized crystal structure of P3W, as listed in Alexandria via LeMat-Bulk.

```
data_P3W
_chemical_formula_sum 'P6 W2'
_space_group_name_H-M_alt 'I 4/m m m'
_space_group_IT_number 139
_space_group_name_Hall '-I 4 2'
_cell_length_a 4.2980
_cell_length_b 4.2980
_cell_length_c 6.0211
_cell_angle_alpha 90.00
_cell_angle_beta 90.00
_cell_angle_gamma 90.00
loop_
_atom_site_label
_atom_site_type_symbol
_atom_site_fract_x
_atom_site_fract_y
_atom_site_fract_z
P1 P 0.0000 0.0000 0.0000
P2 P 0.0000 0.5000 0.2500
W1 W 0.0000 0.0000 0.5000
```

Summary:
The distance to the lowest polymorph of the same formula comes out at 0.6231 eV per atom. The value obtained for the total magnetic moment is 0.00 Bohr magnetons per cell. The calculation puts the formation energy from the elements at 46 kJ per mole of atoms. As for the crystal system: tetragonal.



First-principles (PBE-GGA) data for an optimized crystal structure of CaNdAgBi, as listed in Alexandria via LeMat-Bulk.

```
data_CaNdAgBi
_chemical_formula_sum 'Ca4 Nd4 Ag4 Bi4'
_space_group_name_H-M_alt 'F -4 3 m'
_space_group_IT_number 216
_space_group_name_Hall 'F -4 2 3'
_cell_length_a 7.7010
_cell_length_b 7.7010
_cell_length_c 7.7010
_cell_angle_alpha 90.00
_cell_angle_beta 90.00
_cell_angle_gamma 90.00
loop_
_atom_site_label
_atom_site_type_symbol
_atom_site_fract_x
_atom_site_fract_y
_atom_site_fract_z
Ca1 Ca 0.0000 0.0000 0.0000
Nd1 Nd 0.0000 0.0000 0.5000
Ag1 Ag 0.2500 0.2500 0.7500
Bi1 Bi 0.2500 0.2500 0.2500
```

Summary:
The value obtained for the total magnetic moment is 0.00 Bohr magnetons per cell. The calculation puts the formation energy from the elements at -49 kJ per mole of atoms. As for the crystal system: cubic.



First-principles (PBE-GGA) data for an optimized crystal structure of RbCd2Ag, as listed in Alexandria via LeMat-Bulk.

```
data_RbCd2Ag
_chemical_formula_sum 'Rb3 Cd6 Ag3'
_space_group_name_H-M_alt 'R 3 m'
_space_group_IT_number 160
_space_group_name_Hall 'R 3 -2"'
_cell_length_a 4.9809
_cell_length_b 4.9809
_cell_length_c 19.1503
_cell_angle_alpha 90.00
_cell_angle_beta 90.00
_cell_angle_gamma 120.00
loop_
_atom_site_label
_atom_site_type_symbol
_atom_site_fract_x
_atom_site_fract_y
_atom_site_fract_z
Rb1 Rb 0.0000 0.0000 0.0000
Cd1 Cd 0.0000 0.0000 0.1867
Cd2 Cd 0.0000 0.0000 0.4900
Ag1 Ag 0.0000 0.0000 0.8169
```

Summary:
The distance to the lowest polymorph of the same formula comes out at 0.0000 eV per atom. The value obtained for the total magnetic moment is 0.00 Bohr magnetons per cell. The calculation puts the formation energy from the elements at -6 kJ per mole of atoms. As for the crystal system: trigonal.